Pr4Ag5Au2: optimized geometry, PBE-GGA.

Summary:
crystal system	monoclinic
density of states at the Fermi level	8.45	states/eV per cell
calculated volume	25.49	Å³ per atom
energy of formation from the pure elements	-364	meV per atom
final energy	-3.994	eV/atom

Unit cell a=7.5676 b=3.9017 c=9.5328 alpha=90.00 beta=95.12 gamma=90.00
Fractional positions:
Pr 0.1929 0.0000 0.3749
Pr 0.2498 0.0000 0.9341
Pr 0.7502 0.0000 0.0659
Pr 0.8071 0.0000 0.6251
Ag 0.1763 0.5000 0.6443
Ag 0.4588 0.5000 0.1919
Ag 0.5000 0.5000 0.5000
Ag 0.5412 0.5000 0.8081
Ag 0.8237 0.5000 0.3557
Au 0.0738 0.5000 0.1427
Au 0.9262 0.5000 0.8573